(1)
GGA-PBE La2YHg, optimized geometry; V = 134 Å³/cell; E = -4.290 eV per atom; space-group type = R-3m; spin magnetization = 0.0 μB/cell; formation energy = -135 meV/atom
1.0
11.149 -0.014 -0.008
10.520 3.693 -0.008
10.520 1.786 3.232
Hg La Y
1 2 1
Direct
0.250 0.250 0.250 Hg
0.994 0.994 0.994 La
0.506 0.506 0.506 La
0.750 0.750 0.750 Y


(2)
GGA-PBE La2YHg, optimized geometry; V = 122 Å³/cell; E = -4.325 eV per atom; space-group type = P4/mmm; spin magnetization = 0.0 μB/cell; formation energy = -170 meV/atom
1.0
-0.558 3.073 4.026
-4.202 1.687 -1.870
-2.461 -3.525 2.349
Hg La Y
1 2 1
Direct
0.500 0.000 0.500 Hg
0.000 0.000 0.000 La
0.000 0.500 0.500 La
0.500 0.500 0.000 Y


(3)
GGA-PBE LaY2Hg, optimized geometry; V = 259 Å³/cell; E = -4.582 eV per atom; space-group type = I-42d; spin magnetization = 0.0 μB/cell; formation energy = -42 meV/atom
1.0
-6.590 -4.458 -3.774
5.434 -2.590 -6.427
0.236 -6.236 -3.319
Y Hg La
4 2 2
Direct
0.671 0.125 0.250 Y
0.079 0.625 0.250 Y
0.375 0.329 0.750 Y
0.875 0.921 0.750 Y
0.000 0.000 0.000 Hg
0.750 0.250 0.500 Hg
0.500 0.500 0.000 La
0.250 0.750 0.500 La


(4)
GGA-PBE LaY2Hg, optimized geometry; V = 124 Å³/cell; E = -4.783 eV per atom; space-group type = Immm; spin magnetization = 0.0 μB/cell; formation energy = -243 meV/atom
1.0
-3.005 1.953 5.697
-4.832 -1.192 4.531
1.722 -2.704 4.598
Y Hg La
2 1 1
Direct
0.033 0.033 0.967 Y
0.467 0.467 0.533 Y
0.750 0.750 0.750 Hg
0.250 0.250 0.250 La


(5)
GGA-PBE La4YHg, optimized geometry; V = 202 Å³/cell; energy relative to the lowest polymorph listed for this composition = 0 meV/atom; E = -4.569 eV per atom; space-group type = P4/mmm; spin magnetization = 0.0 μB/cell; formation energy = -156 meV/atom
1.0
-0.484 3.718 -0.427
-1.216 -0.563 -3.528
-13.289 -1.182 4.770
La Y Hg
4 1 1
Direct
0.500 0.500 0.824 La
0.500 0.500 0.176 La
0.000 0.000 0.646 La
0.000 0.000 0.354 La
0.000 0.000 0.000 Y
0.500 0.500 0.500 Hg


(6)
GGA-PBE La2YHg, optimized geometry; V = 126 Å³/cell; E = -4.401 eV per atom; space-group type = P4mm; spin magnetization = 0.0 μB/cell; formation energy = -246 meV/atom
1.0
-2.648 0.555 -2.616
-2.571 -1.543 2.275
-1.742 8.006 3.463
Y Hg La
1 1 2
Direct
0.000 0.000 0.537 Y
0.500 0.500 0.733 Hg
0.000 0.000 0.973 La
0.500 0.500 0.258 La


(7)
GGA-PBE La2YHg, optimized geometry; V = 123 Å³/cell; E = -4.243 eV per atom; space-group type = C2/m; spin magnetization = 0.0 μB/cell; formation energy = -88 meV/atom
1.0
-1.734 -6.198 1.335
6.336 1.745 0.066
0.829 -0.279 3.531
Hg La Y
1 2 1
Direct
0.000 0.500 0.500 Hg
0.000 0.000 0.000 La
0.500 0.500 0.000 La
0.500 0.000 0.500 Y


(8)
GGA-PBE La2YHg, optimized geometry; V = 122 Å³/cell; E = -4.307 eV per atom; space-group type = I-4m2; spin magnetization = 0.0 μB/cell; formation energy = -152 meV/atom
1.0
6.178 0.018 0.000
2.299 5.735 0.000
-4.239 -2.877 3.454
Hg La Y
1 2 1
Direct
0.750 0.250 0.500 Hg
0.000 0.000 0.000 La
0.250 0.750 0.500 La
0.500 0.500 0.000 Y


(9)
GGA-PBE La2YHg3, optimized geometry; V = 171 Å³/cell; E = -3.368 eV per atom; space-group type = P4/mmm; spin magnetization = 0.9 μB/cell; formation energy = -497 meV/atom
1.0
-0.659 2.145 3.060
1.778 -2.554 2.173
10.284 5.664 -1.756
La Y Hg
2 1 3
Direct
0.500 0.500 0.827 La
0.500 0.500 0.173 La
0.500 0.500 0.500 Y
0.000 0.000 0.000 Hg
0.000 0.000 0.648 Hg
0.000 0.000 0.352 Hg


(10)
GGA-PBE La4YHg, optimized geometry; V = 204 Å³/cell; energy relative to the lowest polymorph listed for this composition = 379 meV/atom; E = -4.190 eV per atom; space-group type = F-43m; spin magnetization = 0.0 μB/cell; formation energy = 223 meV/atom
1.0
0.000 4.674 4.674
4.674 0.000 4.674
4.674 4.674 0.000
La Y Hg
4 1 1
Direct
0.876 0.375 0.375 La
0.375 0.375 0.876 La
0.375 0.876 0.375 La
0.375 0.375 0.375 La
0.750 0.750 0.750 Y
0.000 0.000 0.000 Hg


(11)
GGA-PBE LaYHg, optimized geometry; V = 102 Å³/cell; energy relative to the lowest polymorph listed for this composition = 201 meV/atom; E = -4.015 eV per atom; space-group type = F-43m; spin magnetization = 0.2 μB/cell; formation energy = -117 meV/atom
1.0
-1.179 2.122 4.653
-0.286 -3.036 4.272
3.677 0.361 3.727
Hg La Y
1 1 1
Direct
0.750 0.750 0.750 Hg
0.000 0.000 0.000 La
0.500 0.500 0.500 Y


(12)
GGA-PBE LaYHg3, optimized geometry; V = 269 Å³/cell; energy relative to the lowest polymorph listed for this composition = 0 meV/atom; E = -2.933 eV per atom; space-group type = Cmcm; spin magnetization = 0.7 μB/cell; formation energy = -473 meV/atom
1.0
3.629 0.000 -0.500
0.000 4.997 0.000
0.192 0.000 14.824
La Y Hg
2 2 6
Direct
0.924 0.750 0.848 La
0.076 0.250 0.152 La
0.210 0.750 0.420 Y
0.790 0.250 0.580 Y
0.624 0.750 0.248 Hg
0.376 0.250 0.752 Hg
0.525 0.750 0.049 Hg
0.475 0.250 0.951 Hg
0.684 0.250 0.368 Hg
0.316 0.750 0.632 Hg


(13)
GGA-PBE La2YHg, optimized geometry; V = 120 Å³/cell; E = -4.226 eV per atom; space-group type = F-43m; spin magnetization = 2.2 μB/cell; formation energy = -71 meV/atom
1.0
5.540 0.000 0.000
2.770 4.797 0.000
2.770 1.599 4.523
Hg La Y
1 2 1
Direct
0.500 0.500 0.500 Hg
0.000 0.000 0.000 La
0.750 0.750 0.750 La
0.250 0.250 0.250 Y


(14)
GGA-PBE La2Y3Hg4, optimized geometry; V = 530 Å³/cell; E = -3.761 eV per atom; space-group type = Cmce; spin magnetization = 0.1 μB/cell; formation energy = -377 meV/atom
1.0
7.140 0.000 0.000
0.000 8.297 0.000
-3.570 0.000 8.947
La Y Hg
4 6 8
Direct
0.095 0.588 0.190 La
0.905 0.412 0.810 La
0.405 0.088 0.810 La
0.595 0.912 0.190 La
0.000 0.000 0.000 Y
0.500 0.500 0.000 Y
0.511 0.750 0.523 Y
0.989 0.250 0.477 Y
0.489 0.250 0.477 Y
0.011 0.750 0.523 Y
0.685 0.750 0.870 Hg
0.815 0.250 0.130 Hg
0.315 0.250 0.130 Hg
0.185 0.750 0.870 Hg
0.170 0.974 0.340 Hg
0.830 0.026 0.660 Hg
0.330 0.474 0.660 Hg
0.670 0.526 0.340 Hg


(15)
GGA-PBE LaY2Hg, optimized geometry; V = 121 Å³/cell; E = -4.779 eV per atom; space-group type = P4/mmm; spin magnetization = 0.0 μB/cell; formation energy = -240 meV/atom
1.0
-0.190 3.500 1.119
-1.833 0.881 -3.066
-7.767 -1.746 4.143
Y Hg La
2 1 1
Direct
0.000 0.000 0.039 Y
0.000 0.000 0.461 Y
0.500 0.500 0.250 Hg
0.500 0.500 0.750 La


(16)
GGA-PBE LaY2Hg, optimized geometry; V = 120 Å³/cell; E = -4.600 eV per atom; space-group type = F-43m; spin magnetization = 0.6 μB/cell; formation energy = -61 meV/atom
1.0
5.535 0.000 0.000
2.768 4.793 0.000
2.768 1.598 4.519
Hg La Y
1 1 2
Direct
0.500 0.500 0.500 Hg
0.750 0.750 0.750 La
0.000 0.000 0.000 Y
0.250 0.250 0.250 Y


(17)
GGA-PBE LaYHg4, optimized geometry; V = 154 Å³/cell; energy relative to the lowest polymorph listed for this composition = 0 meV/atom; E = -2.535 eV per atom; space-group type = Pmmm; spin magnetization = 0.2 μB/cell; formation energy = -436 meV/atom
1.0
-1.808 -2.135 2.085
-0.687 -3.194 -3.866
7.357 -4.155 2.125
La Y Hg
1 1 4
Direct
0.999 0.997 0.498 La
0.999 0.497 0.998 Y
0.499 0.997 0.161 Hg
0.499 0.997 0.835 Hg
0.499 0.497 0.670 Hg
0.499 0.497 0.326 Hg


(18)
GGA-PBE La3YHg, optimized geometry; V = 664 Å³/cell; energy relative to the lowest polymorph listed for this composition = 111 meV/atom; E = -4.376 eV per atom; space-group type = C2/c; spin magnetization = 0.0 μB/cell; formation energy = -66 meV/atom
1.0
7.781 -0.532 -0.611
-1.505 9.356 0.331
-1.505 -0.957 9.313
La Y Hg
12 4 4
Direct
0.600 0.281 0.942 La
0.900 0.058 0.719 La
0.400 0.719 0.058 La
0.100 0.942 0.281 La
0.906 0.720 0.876 La
0.594 0.124 0.280 La
0.094 0.280 0.124 La
0.406 0.876 0.720 La
0.498 0.426 0.327 La
0.002 0.673 0.574 La
0.502 0.574 0.673 La
0.998 0.327 0.426 La
0.842 0.588 0.191 Y
0.658 0.809 0.412 Y
0.158 0.412 0.809 Y
0.342 0.191 0.588 Y
0.250 0.029 0.971 Hg
0.750 0.971 0.029 Hg
0.250 0.649 0.351 Hg
0.750 0.351 0.649 Hg


(19)
GGA-PBE La2YHg, optimized geometry; V = 254 Å³/cell; E = -4.402 eV per atom; space-group type = I4/mmm; spin magnetization = 0.0 μB/cell; formation energy = -247 meV/atom
1.0
5.151 0.016 -1.431
-0.414 5.134 -1.431
-0.097 -0.106 9.648
La Y Hg
4 2 2
Direct
0.863 0.863 0.226 La
0.137 0.137 0.774 La
0.500 0.000 0.500 La
0.000 0.500 0.500 La
0.353 0.353 0.206 Y
0.647 0.647 0.794 Y
0.250 0.750 0.000 Hg
0.750 0.250 0.000 Hg


(20)
GGA-PBE La3YHg, optimized geometry; V = 199 Å³/cell; energy relative to the lowest polymorph listed for this composition = 753 meV/atom; E = -3.733 eV per atom; space-group type = Pm-3m; spin magnetization = 0.0 μB/cell; formation energy = 576 meV/atom
1.0
5.840 0.000 0.000
0.000 5.840 0.000
0.000 0.000 5.840
Y Hg La
1 1 3
Direct
0.000 0.000 0.000 Y
0.500 0.500 0.500 Hg
0.000 0.500 0.000 La
0.000 0.000 0.500 La
0.500 0.000 0.000 La